Here is an optimized crystal structure of Co3O2F4 from the Alexandria database. Energies are from PBE with a Hubbard U.

Values from the calculation:
N(E_F) ... 2.68 states/eV per cell
Volume ... 199.8 Å³ per cell
Polymorph energy (0 for the lowest one) ... 0.131 eV per formula unit
Spin magnetization ... 8.95 μB per formula unit

a = 5.6608 Å, b = 4.5739 Å, c = 7.7234 Å
α = 90.00°, β = 92.09°, γ = 90.00°
Space group P2_1 (No. 4)
One atom of each set of equivalent atoms:
Co  0.0678  0.0000  0.3500
Co  0.2698  0.4813  0.0008
Co  0.3997  0.0380  0.6729
O  0.1128  0.2034  0.5641
O  0.4521  0.2045  0.8995
F  0.0516  0.7982  0.1060
F  0.2176  0.7023  0.7743
F  0.2761  0.2943  0.2405
F  0.3811  0.8062  0.4460